Below is crystalline Al2SiHg2 at its relaxed geometry, with properties calculated at the PBE level.

Properties
crystal system	tetragonal
raw formation energy	0.25	eV per atom
electronic total energy	-24.500	eV per cell
space-group type	P4/mbm (127)

Lattice parameters (Å, degrees): 6.5682 6.5682 4.9691 90.00 90.00 90.00
Fractional coordinates of all 10 atoms:
Al (0.1424, 0.3576, 0.0000)
Hg (0.8098, 0.3098, 0.5000)
Al (0.6424, 0.1424, 0.0000)
Hg (0.3098, 0.1902, 0.5000)
Si (0.5000, 0.5000, 0.0000)
Si (0.0000, 0.0000, 0.0000)
Hg (0.1902, 0.6902, 0.5000)
Al (0.8576, 0.6424, 0.0000)
Al (0.3576, 0.8576, 0.0000)
Hg (0.6902, 0.8098, 0.5000)